Record 1
VASP calculation (GGA-PBE) on a geometry-optimized AlHgSe2 structure.

It has space group Pm (No. 6), with a = 4.259 Å, b = 5.352 Å, c = 4.275 Å, α = 90.00°, β = 100.06° and γ = 90.00°. The inequivalent atoms are Al at (0.000, 0.000, 0.000), Hg at (0.481, 0.500, 0.516), Se at (0.059, 0.500, 0.939) and Se at (0.609, 0.000, 0.388).

Its formation energy without anion corrections is -0.265 eV per atom. As for the total energy: -0.2219 Ry/atom.

Record 2
VASP calculation (GGA-PBE) on a geometry-optimized AlHg2Se structure.

It has space group Pmmm (No. 47), with a = 2.917 Å, b = 5.675 Å, c = 5.762 Å, α = 90.00°, β = 90.00° and γ = 90.00°. The inequivalent atoms are Al at (0.000, 0.000, 0.000), Hg at (0.500, 0.500, 0.251) and Se at (0.000, 0.000, 0.500).

Its formation energy without anion corrections is 0.169 eV per atom. As for the total energy: -0.1315 Ry/atom.

Record 3
VASP calculation (GGA-PBE) on a geometry-optimized AlHgSe2 structure.

It has space group Cm (No. 8), with a = 6.552 Å, b = 3.803 Å, c = 7.775 Å, α = 90.00°, β = 91.08° and γ = 90.00°. The inequivalent atoms are Al at (0.000, 0.000, 0.000), Hg at (0.184, 0.500, 0.462), Se at (0.162, 0.500, 0.829) and Se at (0.339, 0.000, 0.184).

Its formation energy without anion corrections is -0.440 eV per atom. As for the total energy: -0.2347 Ry/atom.

Record 4
VASP calculation (GGA-PBE) on a geometry-optimized AlHgSe2 structure.

It has space group I-4m2 (No. 119), with a = 3.794 Å, b = 3.794 Å, c = 15.489 Å, α = 90.00°, β = 90.00° and γ = 90.00°. The inequivalent atoms are Al at (0.000, 0.000, 0.000), Hg at (0.000, 0.500, 0.750), Se at (0.000, 0.000, 0.500) and Se at (0.000, 0.500, 0.250).

Its formation energy without anion corrections is -0.052 eV per atom. As for the total energy: -0.2062 Ry/atom.

Record 5
VASP calculation (GGA-PBE) on a geometry-optimized AlHg2Se structure.

It has space group Imm2 (No. 44), with a = 3.675 Å, b = 6.509 Å, c = 9.015 Å, α = 90.00°, β = 90.00° and γ = 90.00°. The inequivalent atoms are Al at (0.000, 0.000, 0.000), Hg at (0.000, 0.000, 0.486), Hg at (0.000, 0.500, 0.263) and Se at (0.000, 0.500, 0.675).

Its formation energy without anion corrections is -0.079 eV per atom. As for the total energy: -0.1497 Ry/atom.

Record 6
VASP calculation (GGA-PBE) on a geometry-optimized AlHgSe2 structure.

It has space group Cmm2 (No. 35), with a = 3.642 Å, b = 5.628 Å, c = 9.297 Å, α = 90.00°, β = 90.00° and γ = 90.00°. The inequivalent atoms are Al at (0.000, 0.000, 0.000), Hg at (0.000, 0.500, 0.766), Se at (0.000, 0.000, 0.529) and Se at (0.000, 0.500, 0.170).

Its formation energy without anion corrections is 0.110 eV per atom. As for the total energy: -0.1942 Ry/atom.

Record 7
VASP calculation (GGA-PBE) on a geometry-optimized AlHgSe2 structure.

It has space group P4/mmm (No. 123), with a = 4.872 Å, b = 4.872 Å, c = 3.606 Å, α = 90.00°, β = 90.00° and γ = 90.00°. The inequivalent atoms are Al at (0.000, 0.000, 0.000), Hg at (0.500, 0.500, 0.000) and Se at (0.000, 0.500, 0.500).

Its formation energy without anion corrections is 0.160 eV per atom. As for the total energy: -0.1906 Ry/atom.

Record 8
VASP calculation (GGA-PBE) on a geometry-optimized AlHgSe4 structure.

It has space group F-43m (No. 216), with a = 8.270 Å, b = 8.270 Å, c = 8.270 Å, α = 90.00°, β = 90.00° and γ = 90.00°. The inequivalent atoms are Al at (0.000, 0.000, 0.000), Hg at (0.250, 0.250, 0.750) and Se at (0.123, 0.123, 0.377).

Its formation energy without anion corrections is 0.422 eV per atom. As for the total energy: -0.1893 Ry/atom.

Record 9
VASP calculation (GGA-PBE) on a geometry-optimized AlHgSe2 structure.

It has space group R-3m (No. 166, hexagonal axes), with a = 3.7562 Å, b = 3.7562 Å, c = 25.4722 Å, α = 90.00°, β = 90.00° and γ = 120.00°. The inequivalent atoms are Al at (0.0000, 0.0000, 0.0000), Hg at (0.0000, 0.0000, 0.5000) and Se at (0.0000, 0.0000, 0.3872).

Its formation energy without anion corrections is -0.442 eV per atom. As for the total energy: -0.2349 Ry/atom.

Record 10
VASP calculation (GGA-PBE) on a geometry-optimized AlHg2Se structure.

It has space group P4mm (No. 99), with a = 3.416 Å, b = 3.416 Å, c = 8.842 Å, α = 90.00°, β = 90.00° and γ = 90.00°. The inequivalent atoms are Al at (0.000, 0.000, 0.000), Hg at (0.000, 0.000, 0.560), Hg at (0.500, 0.500, 0.272) and Se at (0.500, 0.500, 0.892).

Its formation energy without anion corrections is -0.095 eV per atom. As for the total energy: -0.1508 Ry/atom.

Record 11
VASP calculation (GGA-PBE) on a geometry-optimized AlHgSe2 structure.

It has space group P2/m (No. 10), with a = 2.801 Å, b = 5.636 Å, c = 5.652 Å, α = 90.00°, β = 90.16° and γ = 90.00°. The inequivalent atoms are Al at (0.000, 0.000, 0.000), Hg at (0.500, 0.000, 0.500) and Se at (0.000, 0.500, 0.237).

Its formation energy without anion corrections is 0.130 eV per atom. As for the total energy: -0.1928 Ry/atom.

Record 12
VASP calculation (GGA-PBE) on a geometry-optimized AlHgSe2 structure.

It has space group Cmmm (No. 65), with a = 3.580 Å, b = 5.861 Å, c = 9.973 Å, α = 90.00°, β = 90.00° and γ = 90.00°. The inequivalent atoms are Al at (0.000, 0.000, 0.000), Hg at (0.000, 0.000, 0.500) and Se at (0.000, 0.500, 0.171).

Its formation energy without anion corrections is -0.188 eV per atom. As for the total energy: -0.2162 Ry/atom.